1.
The following is a DFT calculation (PBE) of a relaxed structure of KLaNi2Pt.

Lattice parameters (Å, degrees): 5.002 5.002 5.228 90.00 90.00 90.00
Element x y z (fractional)
K 0.000 0.000 0.000
La 0.500 0.500 0.000
Ni 0.000 0.500 0.500
Ni 0.500 0.000 0.500
Pt 0.500 0.500 0.500

## Properties
Its space group is No. 123. The value obtained for the density of states at the Fermi level is 11.37 states/eV/f.u. For the calculated total energy, the calculation gives -4.431 eV/atom.

---

2.
The following is a DFT calculation (PBE) of a relaxed structure of KLaNi2Ru.

Lattice parameters (Å, degrees): 4.756 4.756 4.962 90.00 90.00 90.00
Element x y z (fractional)
K 0.000 0.000 0.000
La 0.500 0.500 0.000
Ni 0.000 0.500 0.500
Ni 0.500 0.000 0.500
Ru 0.000 0.000 0.500

## Properties
Its space group is No. 123. The value obtained for the density of states at the Fermi level is 5.15 states/eV/f.u. For the calculated total energy, the calculation gives -4.489 eV/atom.

---

3.
The following is a DFT calculation (PBE) of a relaxed structure of K2LaSiNi.

Lattice parameters (Å, degrees): 5.599 5.599 5.338 90.00 90.00 90.00
Element x y z (fractional)
K 0.000 0.500 0.000
K 0.500 0.000 0.000
La 0.000 0.000 0.500
Si 0.500 0.500 0.500
Ni 0.000 0.000 0.000

## Properties
Its space group is No. 123. The value obtained for the density of states at the Fermi level is 3.86 states/eV/f.u. For the calculated total energy, the calculation gives -3.073 eV/atom.

---

4.
The following is a DFT calculation (PBE) of a relaxed structure of KLaNiSn2.

Lattice parameters (Å, degrees): 6.231 6.231 4.920 90.00 90.00 90.00
Element x y z (fractional)
K 0.000 0.000 0.000
La 0.500 0.500 0.500
Ni 0.500 0.500 0.000
Sn 0.000 0.500 0.500
Sn 0.500 0.000 0.500

## Properties
Its space group is No. 123. The value obtained for the density of states at the Fermi level is 5.00 states/eV/f.u. For the calculated total energy, the calculation gives -3.501 eV/atom.

---

5.
The following is a DFT calculation (PBE) of a relaxed structure of KSr2LaNi.

Lattice parameters (Å, degrees): 6.301 6.301 5.355 90.00 90.00 90.00
Element x y z (fractional)
K 0.000 0.000 0.000
Sr 0.000 0.500 0.500
Sr 0.500 0.000 0.500
La 0.500 0.500 0.000
Ni 0.500 0.500 0.500

## Properties
Its space group is No. 123. The value obtained for the density of states at the Fermi level is 4.47 states/eV/f.u. For the calculated total energy, the calculation gives -3.001 eV/atom.

---

6.
The following is a DFT calculation (PBE) of a relaxed structure of KLaYNi2.

Lattice parameters (Å, degrees): 4.953 4.953 5.217 90.00 90.00 90.00
Element x y z (fractional)
K 0.000 0.000 0.000
La 0.000 0.000 0.500
Y 0.500 0.500 0.500
Ni 0.000 0.500 0.000
Ni 0.500 0.000 0.000

## Properties
Its space group is No. 123. The value obtained for the density of states at the Fermi level is 5.64 states/eV/f.u. For the calculated total energy, the calculation gives -3.560 eV/atom.